Entry from Alexandria via LeMat-Bulk: La2MnPt at its PBEsol-relaxed geometry (meta-GGA SCAN).

a = 7.2285 Å, b = 7.2420 Å, c = 3.5524 Å
α = 90.00°, β = 90.00°, γ = 90.00°
Last column: nearest neighbours and their distance in Å.
Fractional positions:
La: 0.2500 0.2500 0.0000  4 Mn 3.11, 4 Pt 3.11
La: 0.2500 0.7500 0.0000  4 Mn 3.11, 4 Pt 3.11
La: 0.7500 0.2500 0.0000  4 Mn 3.11, 4 Pt 3.11
La: 0.7500 0.7500 0.0000  4 Mn 3.11, 4 Pt 3.11
Mn: 0.0000 0.0000 0.5000  8 La 3.11
Mn: 0.5000 0.5000 0.5000  8 La 3.11
Pt: 0.0000 0.5000 0.5000  8 La 3.11
Pt: 0.5000 0.0000 0.5000  8 La 3.11

Summary:
Its total energy is -176.90 eV per formula unit. The value obtained for the density of states at the Fermi level is 3.64 states/eV/f.u.

Entry from Alexandria via LeMat-Bulk: CoPOs2 at its PBEsol-relaxed geometry (meta-GGA SCAN).

a = 2.7714 Å, b = 4.6090 Å, c = 8.0484 Å
α = 90.00°, β = 90.00°, γ = 90.00°
Last column: nearest neighbours and their distance in Å.
Fractional positions:
Co: 0.0000 0.0000 0.0000  2 P 2.15
Co: 0.5000 0.5000 0.0000  2 P 2.15
P: 0.0000 0.5000 0.7963  2 Co 2.15, 2 Os 2.35
P: 0.5000 0.0000 0.7963  2 Co 2.15, 2 Os 2.35
Os: 0.0000 0.0000 0.5597  2 P 2.35
Os: 0.0000 0.5000 0.2682  2 Co 2.57, 8 Os 2.69-2.77
Os: 0.5000 0.0000 0.2682  2 Co 2.57, 8 Os 2.69-2.77
Os: 0.5000 0.5000 0.5597  2 P 2.35

Summary:
Its total energy is -169.20 eV per formula unit. The value obtained for the density of states at the Fermi level is 3.71 states/eV/f.u.

Entry from Alexandria via LeMat-Bulk: TlFe2Ir at its PBEsol-relaxed geometry (meta-GGA SCAN).

a = 8.9520 Å, b = 2.9053 Å, c = 4.6399 Å
α = 90.00°, β = 105.59°, γ = 90.00°
Last column: nearest neighbours and their distance in Å.
Fractional positions:
Tl: 0.0000 0.0000 0.0000  7 Fe 2.70-2.76, 3 Ir 2.78-2.84, 2 Tl 2.91
Tl: 0.5000 0.5000 0.0000  7 Fe 2.70-2.76, 3 Ir 2.78-2.84, 2 Tl 2.91
Fe: 0.0151 0.5000 0.5132  2 Fe 2.45, 3 Ir 2.60-2.72, 2 Tl 2.72
Fe: 0.2357 0.0000 0.7383  2 Fe 2.45, 2 Ir 2.58, 1 Tl 2.70
Fe: 0.5151 0.0000 0.5132  2 Fe 2.45, 3 Ir 2.60-2.72, 2 Tl 2.72
Fe: 0.7357 0.5000 0.7383  2 Fe 2.45, 2 Ir 2.58, 1 Tl 2.70
Ir: 0.2698 0.5000 0.3002  5 Fe 2.58-2.72, 3 Tl 2.78-2.84
Ir: 0.7698 0.0000 0.3002  5 Fe 2.58-2.72, 3 Tl 2.78-2.84

Summary:
Its total energy is -178.54 eV per formula unit. The value obtained for the density of states at the Fermi level is 2.95 states/eV/f.u.

Entry from Alexandria via LeMat-Bulk: LiCaCu4 at its PBEsol-relaxed geometry (meta-GGA SCAN).

a = 5.0044 Å, b = 5.0044 Å, c = 5.0044 Å
α = 60.00°, β = 60.00°, γ = 60.00°
Last column: nearest neighbours and their distance in Å.
Fractional positions:
Li: 0.0000 0.0000 0.0000  12 Cu 2.93, 4 Ca 3.06
Ca: 0.2500 0.2500 0.2500  12 Cu 2.94, 4 Li 3.06
Cu: 0.1220 0.6260 0.6260  6 Cu 2.48-2.52
Cu: 0.6260 0.1220 0.6260  6 Cu 2.48-2.52
Cu: 0.6260 0.6260 0.1220  6 Cu 2.48-2.52
Cu: 0.6260 0.6260 0.6260  6 Cu 2.48-2.52

Summary:
Its total energy is -73.52 eV per formula unit. The value obtained for the density of states at the Fermi level is 2.47 states/eV/f.u.

Entry from Alexandria via LeMat-Bulk: K3BeCo at its PBEsol-relaxed geometry (meta-GGA SCAN).

a = 6.0151 Å, b = 6.0151 Å, c = 6.0151 Å
α = 90.00°, β = 90.00°, γ = 90.00°
Last column: nearest neighbours and their distance in Å.
Fractional positions:
K: 0.0000 0.0000 0.5000  2 Co 3.01
K: 0.0000 0.5000 0.0000  2 Co 3.01
K: 0.5000 0.0000 0.0000  2 Co 3.01
Be: 0.5000 0.5000 0.5000  12 K 4.25
Co: 0.0000 0.0000 0.0000  6 K 3.01

Summary:
Its total energy is -41.33 eV per formula unit. The value obtained for the density of states at the Fermi level is 3.66 states/eV/f.u.

Entry from Alexandria via LeMat-Bulk: LiCa2Fe at its PBEsol-relaxed geometry (meta-GGA SCAN).

a = 3.4536 Å, b = 5.1460 Å, c = 10.9677 Å
α = 90.00°, β = 90.00°, γ = 90.00°
Last column: nearest neighbours and their distance in Å.
Fractional positions:
Li: 0.0000 0.0000 0.0000  2 Fe 2.63
Li: 0.5000 0.5000 0.5000  2 Fe 2.63
Ca: 0.0000 0.0000 0.5846  2 Fe 3.10, 4 Li 3.23, 4 Ca 3.42-3.45
Ca: 0.0000 0.5000 0.7902  4 Fe 3.12, 4 Ca 3.42-3.45, 2 Li 3.45
Ca: 0.5000 0.0000 0.2902  4 Fe 3.12, 4 Ca 3.42-3.45, 2 Li 3.45
Ca: 0.5000 0.5000 0.0846  2 Fe 3.10, 4 Li 3.23, 4 Ca 3.42-3.45
Fe: 0.0000 0.5000 0.3193  2 Li 2.63
Fe: 0.5000 0.0000 0.8193  2 Li 2.63

Summary:
Its total energy is -38.37 eV per formula unit. The value obtained for the density of states at the Fermi level is 2.88 states/eV/f.u.

Entry from Alexandria via LeMat-Bulk: SrHfBr2 at its PBEsol-relaxed geometry (meta-GGA SCAN).

a = 3.5934 Å, b = 3.5934 Å, c = 29.2039 Å
α = 90.00°, β = 90.00°, γ = 120.00°
Last column: nearest neighbours and their distance in Å.
Fractional positions:
Sr: 0.0000 0.0000 0.0000  6 Br 3.05
Sr: 0.3333 0.6667 0.6667  6 Br 3.05
Sr: 0.6667 0.3333 0.3333  6 Br 3.05
Hf: 0.0000 0.0000 0.5000  2 Br 2.63
Hf: 0.3333 0.6667 0.1667  2 Br 2.63
Hf: 0.6667 0.3333 0.8333  2 Br 2.63
Br: 0.0000 0.0000 0.4099  1 Hf 2.63
Br: 0.0000 0.0000 0.5901  1 Hf 2.63
Br: 0.3333 0.6667 0.0765  1 Hf 2.63
Br: 0.3333 0.6667 0.2568  1 Hf 2.63
Br: 0.6667 0.3333 0.7432  1 Hf 2.63
Br: 0.6667 0.3333 0.9235  1 Hf 2.63

Summary:
The value obtained for the energy relative to the elements, uncorrected is -0.678 eV per atom. The value obtained for the density of states at the Fermi level is 2.89 states/eV/f.u.

Entry from Alexandria via LeMat-Bulk: BW2N at its PBEsol-relaxed geometry (meta-GGA SCAN).

a = 5.4716 Å, b = 5.4716 Å, c = 5.4716 Å
α = 90.00°, β = 90.00°, γ = 90.00°
Last column: nearest neighbours and their distance in Å.
Fractional positions:
B: 0.0000 0.0000 0.0000  8 W 2.37
B: 0.0000 0.5000 0.5000  8 W 2.37
B: 0.5000 0.0000 0.5000  8 W 2.37
B: 0.5000 0.5000 0.0000  8 W 2.37
W: 0.2500 0.2500 0.2500  4 B 2.37, 4 N 2.37
W: 0.2500 0.2500 0.7500  4 B 2.37, 4 N 2.37
W: 0.2500 0.7500 0.2500  4 B 2.37, 4 N 2.37
W: 0.2500 0.7500 0.7500  4 B 2.37, 4 N 2.37
W: 0.7500 0.2500 0.2500  4 B 2.37, 4 N 2.37
W: 0.7500 0.2500 0.7500  4 B 2.37, 4 N 2.37
W: 0.7500 0.7500 0.2500  4 B 2.37, 4 N 2.37
W: 0.7500 0.7500 0.7500  4 B 2.37, 4 N 2.37
N: 0.0000 0.0000 0.5000  8 W 2.37
N: 0.0000 0.5000 0.0000  8 W 2.37
N: 0.5000 0.0000 0.0000  8 W 2.37
N: 0.5000 0.5000 0.5000  8 W 2.37

Summary:
The value obtained for the energy relative to the elements, uncorrected is 0.509 eV per atom. The value obtained for the density of states at the Fermi level is 0.64 states/eV/f.u.